# 1
A plane-wave DFT calculation with SCAN was carried out for MnAl2Zn at its PBEsol-relaxed geometry.

Output
symmetry	No. 10
N(E_F)	1.539	states/eV/cell
energy of formation from the pure elements	-0.21	eV/atom

```
MnAl2Zn
1.0
4.5733 0.0000 0.0000
0.0000 2.7505 0.0000
-1.7961 0.0000 4.3981
Mn Al Zn
1 2 1
direct
0.0000 0.0000 0.0000
0.5000 0.0000 0.5000
0.5000 0.5000 0.0000
0.0000 0.5000 0.5000
```

---

# 2
A plane-wave DFT calculation with SCAN was carried out for HfZr3Sn at its PBEsol-relaxed geometry.

Output
symmetry	No. 221
N(E_F)	6.418	states/eV/cell
energy of formation from the pure elements	0.81	eV/atom

```
HfZr3Sn
1.0
5.0495 0.0000 0.0000
0.0000 5.0495 0.0000
0.0000 0.0000 5.0495
Hf Zr Sn
1 3 1
direct
0.0000 0.0000 0.0000
0.0000 0.0000 0.5000
0.0000 0.5000 0.0000
0.5000 0.0000 0.0000
0.5000 0.5000 0.5000
```

---

# 3
A plane-wave DFT calculation with SCAN was carried out for Be2I2N at its PBEsol-relaxed geometry.

Output
formation energy from raw total energies	1328.8	meV per atom
symmetry	No. 139
N(E_F)	1.454	states/eV/cell

```
Be2I2N
1.0
-1.7536 1.7536 6.8356
1.7536 -1.7536 6.8356
1.7536 1.7536 -6.8356
Be I N
2 2 1
direct
0.2500 0.7500 0.5000
0.7500 0.2500 0.5000
0.1207 0.1207 0.0000
0.8793 0.8793 0.0000
0.5000 0.5000 0.0000
```

---

# 4
A plane-wave DFT calculation with SCAN was carried out for BRhCl2 at its PBEsol-relaxed geometry.

Output
formation energy from raw total energies	909.7	meV per atom
symmetry	No. 166
N(E_F)	3.090	states/eV/cell

```
BRhCl2
1.0
1.5175 0.8761 7.1707
-1.5175 0.8761 7.1707
0.0000 -1.7522 7.1707
B Rh Cl
1 1 2
direct
0.0000 0.0000 0.0000
0.5000 0.5000 0.5000
0.3965 0.3965 0.3965
0.6035 0.6035 0.6035
```

---

# 5
A plane-wave DFT calculation with SCAN was carried out for TcW5 at its PBEsol-relaxed geometry.

Output
symmetry	No. 12
N(E_F)	3.528	states/eV/cell
energy of formation from the pure elements	0.02	eV/atom

```
TcW5
1.0
4.9573 -1.5689 0.0000
4.9573 1.5689 0.0000
-1.9951 0.0000 5.9555
Tc W
1 5
direct
0.0000 0.0000 0.0000
0.0000 0.0000 0.5000
0.3317 0.3317 0.1660
0.3337 0.3337 0.6670
0.6663 0.6663 0.3330
0.6683 0.6683 0.8340
```

---

# 6
A plane-wave DFT calculation with SCAN was carried out for FeIrPd3 at its PBEsol-relaxed geometry.

Output
symmetry	No. 221
N(E_F)	5.241	states/eV/cell
energy of formation from the pure elements	1.30	eV/atom

```
FeIrPd3
1.0
4.3854 0.0000 0.0000
0.0000 4.3854 0.0000
0.0000 0.0000 4.3854
Fe Ir Pd
1 1 3
direct
0.0000 0.0000 0.0000
0.5000 0.5000 0.5000
0.0000 0.0000 0.5000
0.0000 0.5000 0.0000
0.5000 0.0000 0.0000
```

---

# 7
A plane-wave DFT calculation with SCAN was carried out for Ag2HgOs at its PBEsol-relaxed geometry.

Output
symmetry	No. 71
N(E_F)	1.685	states/eV/cell
energy of formation from the pure elements	0.63	eV/atom

```
Ag2HgOs
1.0
-1.3871 2.4379 4.9727
1.3871 -2.4379 4.9727
1.3871 2.4379 -4.9727
Ag Hg Os
2 1 1
direct
0.2424 0.2424 0.0000
0.7576 0.7576 0.0000
0.5000 0.0000 0.5000
0.0000 0.5000 0.5000
```

---

# 8
A plane-wave DFT calculation with SCAN was carried out for MoIrRh2 at its PBEsol-relaxed geometry.

Output
symmetry	No. 119
N(E_F)	3.678	states/eV/cell
energy of formation from the pure elements	-0.24	eV/atom

```
MoIrRh2
1.0
-1.9174 1.9174 3.7973
1.9174 -1.9174 3.7973
1.9174 1.9174 -3.7973
Mo Ir Rh
1 1 2
direct
0.0000 0.0000 0.0000
0.2500 0.7500 0.5000
0.5000 0.5000 0.0000
0.7500 0.2500 0.5000
```

---

# 9
A plane-wave DFT calculation with SCAN was carried out for Re3NCl at its PBEsol-relaxed geometry.

Output
formation energy from raw total energies	3217.9	meV per atom
symmetry	No. 221
N(E_F)	5.320	states/eV/cell

```
Re3NCl
1.0
4.2698 0.0000 0.0000
0.0000 4.2698 0.0000
0.0000 0.0000 4.2698
Re N Cl
3 1 1
direct
0.0000 0.0000 0.5000
0.0000 0.5000 0.0000
0.5000 0.0000 0.0000
0.5000 0.5000 0.5000
0.0000 0.0000 0.0000
```

---

# 10
A plane-wave DFT calculation with SCAN was carried out for Al2Ga2Pb at its PBEsol-relaxed geometry.

Output
symmetry	No. 139
N(E_F)	1.567	states/eV/cell
energy of formation from the pure elements	0.07	eV/atom

```
Al2Ga2Pb
1.0
-2.1263 2.1263 5.5608
2.1263 -2.1263 5.5608
2.1263 2.1263 -5.5608
Al Ga Pb
2 2 1
direct
0.2500 0.7500 0.5000
0.7500 0.2500 0.5000
0.1109 0.1109 0.0000
0.8891 0.8891 0.0000
0.5000 0.5000 0.0000
```

---

# 11
A plane-wave DFT calculation with SCAN was carried out for Ca2ScTa at its PBEsol-relaxed geometry.

Output
symmetry	No. 47
N(E_F)	3.926	states/eV/cell
energy of formation from the pure elements	0.75	eV/atom

```
Ca2ScTa
1.0
3.3432 0.0000 0.0000
0.0000 5.2955 0.0000
0.0000 0.0000 5.6954
Ca Sc Ta
2 1 1
direct
0.0000 0.0000 0.0000
0.5000 0.5000 0.0000
0.0000 0.5000 0.5000
0.5000 0.0000 0.5000
```

---

# 12
A plane-wave DFT calculation with SCAN was carried out for BeZnIn3 at its PBEsol-relaxed geometry.

Output
symmetry	No. 221
N(E_F)	2.474	states/eV/cell
energy of formation from the pure elements	0.77	eV/atom

```
BeZnIn3
1.0
5.0765 0.0000 0.0000
0.0000 5.0765 0.0000
0.0000 0.0000 5.0765
Be Zn In
1 1 3
direct
0.0000 0.0000 0.0000
0.5000 0.5000 0.5000
0.0000 0.5000 0.5000
0.5000 0.0000 0.5000
0.5000 0.5000 0.0000
```

---

# 13
A plane-wave DFT calculation with SCAN was carried out for SbPSeBr2 at its PBEsol-relaxed geometry.

Output
formation energy from raw total energies	541.0	meV per atom
symmetry	No. 123
N(E_F)	2.751	states/eV/cell

```
SbPSeBr2
1.0
5.3780 0.0000 0.0000
0.0000 5.3780 0.0000
0.0000 0.0000 5.5200
Sb P Se Br
1 1 1 2
direct
0.0000 0.0000 0.0000
0.5000 0.5000 0.5000
0.0000 0.0000 0.5000
0.0000 0.5000 0.0000
0.5000 0.0000 0.0000
```

---

# 14
A plane-wave DFT calculation with SCAN was carried out for SrCdO2 at its PBEsol-relaxed geometry.

Output
formation energy from raw total energies	-2068.8	meV per atom
symmetry	No. 123

```
SrCdO2
1.0
3.4938 0.0000 0.0000
0.0000 3.4938 0.0000
0.0000 0.0000 4.8945
Sr Cd O
1 1 2
direct
0.0000 0.0000 0.0000
0.5000 0.5000 0.5000
0.0000 0.0000 0.5000
0.5000 0.5000 0.0000
```

---

# 15
A plane-wave DFT calculation with SCAN was carried out for K2ScPt at its PBEsol-relaxed geometry.

Output
symmetry	No. 166
N(E_F)	2.679	states/eV/cell
energy of formation from the pure elements	0.52	eV/atom

```
K2ScPt
1.0
1.5842 0.9146 11.9675
-1.5842 0.9146 11.9675
0.0000 -1.8292 11.9675
K Sc Pt
2 1 1
direct
0.2362 0.2362 0.2362
0.7638 0.7638 0.7638
0.0000 0.0000 0.0000
0.5000 0.5000 0.5000
```

---

# 16
A plane-wave DFT calculation with SCAN was carried out for Pm2SiPt at its PBEsol-relaxed geometry.

Output
formation energy from raw total energies	-852.2	meV per atom
symmetry	No. 225
N(E_F)	1.286	states/eV/cell

```
Pm2SiPt
1.0
0.0000 3.5616 3.5616
3.5616 0.0000 3.5616
3.5616 3.5616 0.0000
Pm Si Pt
2 1 1
direct
0.2500 0.2500 0.2500
0.7500 0.7500 0.7500
0.0000 0.0000 0.0000
0.5000 0.5000 0.5000
```

---

# 17
A plane-wave DFT calculation with SCAN was carried out for ZnNi2H2 at its PBEsol-relaxed geometry.

Output
calculated total energy	-10.635	eV/atom
symmetry	No. 139
N(E_F)	1.287	states/eV/cell

```
ZnNi2H2
1.0
-1.4611 1.4611 4.5513
1.4611 -1.4611 4.5513
1.4611 1.4611 -4.5513
Zn Ni H
1 2 2
direct
0.0000 0.0000 0.0000
0.3457 0.3457 0.0000
0.6543 0.6543 0.0000
0.2500 0.7500 0.5000
0.7500 0.2500 0.5000
```

---

# 18
A plane-wave DFT calculation with SCAN was carried out for Hg5Mo at its PBEsol-relaxed geometry.

Output
symmetry	No. 187
N(E_F)	3.378	states/eV/cell
energy of formation from the pure elements	0.38	eV/atom

```
Hg5Mo
1.0
2.9651 0.0000 0.0000
-1.4826 2.5679 0.0000
0.0000 0.0000 16.4621
Hg Mo
5 1
direct
0.0000 0.0000 0.0000
0.0000 0.0000 0.3570
0.0000 0.0000 0.6430
0.3333 0.6667 0.1845
0.3333 0.6667 0.8155
0.3333 0.6667 0.5000
```

---

# 19
A plane-wave DFT calculation with SCAN was carried out for TiBeCd2Mo at its PBEsol-relaxed geometry.

Output
symmetry	No. 123
N(E_F)	2.418	states/eV/cell
energy of formation from the pure elements	0.75	eV/atom

```
TiBeCd2Mo
1.0
4.3050 0.0000 0.0000
0.0000 4.3050 0.0000
0.0000 0.0000 4.4763
Ti Be Cd Mo
1 1 2 1
direct
0.0000 0.0000 0.0000
0.0000 0.0000 0.5000
0.0000 0.5000 0.5000
0.5000 0.0000 0.5000
0.5000 0.5000 0.0000
```

---

# 20
A plane-wave DFT calculation with SCAN was carried out for Na3ReTc at its PBEsol-relaxed geometry.

Output
symmetry	No. 221
N(E_F)	8.494	states/eV/cell
energy of formation from the pure elements	2.41	eV/atom

```
Na3ReTc
1.0
5.4798 0.0000 0.0000
0.0000 5.4798 0.0000
0.0000 0.0000 5.4798
Na Re Tc
3 1 1
direct
0.0000 0.0000 0.5000
0.0000 0.5000 0.0000
0.5000 0.0000 0.0000
0.5000 0.5000 0.5000
0.0000 0.0000 0.0000
```